Entry 1:
This record from Alexandria via LeMat-Bulk describes CaTl2Ru after structural relaxation. The functional is GGA-PBE.

a b c (Å): 3.7613 4.5419 5.9833
angles (deg): 90.00 108.16 90.00
Last column: nearest neighbours and their distance in Å.
Fractional positions:
Ca 0.0000 0.0000 0.0000  4 Ru 3.10-3.12, 7 Tl 3.15-3.48
Tl 0.3403 0.5000 0.6767  1 Ru 2.83
Tl 0.7228 0.0000 0.4452  2 Ru 2.74
Ru 0.5835 0.5000 0.1740  3 Tl 2.74-2.83

Computed properties:
- ΔE_f: 226 meV/atom

---

Entry 2:
This record from Alexandria via LeMat-Bulk describes Tb2CeSmDy after structural relaxation. The functional is GGA-PBE.

a b c (Å): 5.9177 8.0449 6.8783
angles (deg): 90.00 90.00 90.00
Last column: nearest neighbours and their distance in Å.
Fractional positions:
Tb 0.2500 0.2019 0.1889  1 Dy 3.08, 1 Tb 3.25
Tb 0.2500 0.7981 0.1889  1 Dy 3.08, 1 Tb 3.25
Tb 0.7500 0.2019 0.8111  1 Dy 3.08, 1 Tb 3.25
Tb 0.7500 0.7981 0.8111  1 Dy 3.08, 1 Tb 3.25
Ce 0.0000 0.5000 0.5000  2 Ce 2.96, 2 Dy 3.17
Ce 0.5000 0.5000 0.5000  2 Ce 2.96, 2 Dy 3.17
Sm 0.2500 0.0000 0.6640  6 Tb 3.52-3.65, 2 Sm 3.72
Sm 0.7500 0.0000 0.3360  6 Tb 3.52-3.65, 2 Sm 3.72
Dy 0.2500 0.5000 0.9077  2 Tb 3.08, 2 Ce 3.17, 2 Dy 3.22
Dy 0.7500 0.5000 0.0923  2 Tb 3.08, 2 Ce 3.17, 2 Dy 3.22

Computed properties:
- ΔE_f: 289 meV/atom

---

Entry 3:
This record from Alexandria via LeMat-Bulk describes PaBeB2 after structural relaxation. The functional is GGA-PBE.

a b c (Å): 4.5980 9.3889 4.6927
angles (deg): 90.00 90.00 90.00
Last column: nearest neighbours and their distance in Å.
Fractional positions:
Pa 0.0000 0.1716 0.2500  8 B 2.60-2.65
Pa 0.0000 0.8284 0.7500  8 B 2.60-2.65
Pa 0.5000 0.3284 0.7500  8 B 2.60-2.65
Pa 0.5000 0.6716 0.2500  8 B 2.60-2.65
Be 0.0000 0.5000 0.0000  4 B 2.06
Be 0.0000 0.5000 0.5000  4 B 2.06
Be 0.5000 0.0000 0.0000  4 B 2.06
Be 0.5000 0.0000 0.5000  4 B 2.06
B 0.1842 0.0930 0.7500  1 B 1.69
B 0.1842 0.9070 0.2500  1 B 1.69
B 0.3158 0.4070 0.2500  1 B 1.69
B 0.3158 0.5930 0.7500  1 B 1.69
B 0.6842 0.4070 0.2500  1 B 1.69
B 0.6842 0.5930 0.7500  1 B 1.69
B 0.8158 0.0930 0.7500  1 B 1.69
B 0.8158 0.9070 0.2500  1 B 1.69

Computed properties:
- Energy relative to the lowest polymorph listed for this composition: 0.61 eV per formula unit
- ΔE_f: -98 meV/atom

---

Entry 4:
This record from Alexandria via LeMat-Bulk describes Tc4TeRu after structural relaxation. The functional is GGA-PBE.

a b c (Å): 5.1809 5.1809 5.1809
angles (deg): 60.00 60.00 60.00
Last column: nearest neighbours and their distance in Å.
Fractional positions:
Tc 0.1233 0.1233 0.1233  6 Tc 2.56-2.62
Tc 0.1233 0.1233 0.6300  6 Tc 2.56-2.62
Tc 0.1233 0.6300 0.1233  6 Tc 2.56-2.62
Tc 0.6300 0.1233 0.1233  6 Tc 2.56-2.62
Te 0.5000 0.5000 0.5000  12 Tc 3.04, 4 Ru 3.17
Ru 0.7500 0.7500 0.7500  12 Tc 3.03, 4 Te 3.17

Computed properties:
- Formation energy from raw total energies: 0.665 eV/atom

---

Number 1: DOS(E_F) 2.4 states/eV per cell, spin magnetization 0.000 μB/cell. Number 2: DOS(E_F) 19.9 states/eV per cell, spin magnetization 3.268 μB/cell. Number 3: DOS(E_F) 12.7 states/eV per cell, spin magnetization 0.000 μB/cell. Number 4: DOS(E_F) 6.8 states/eV per cell, spin magnetization 0.000 μB/cell.